Computed, not measured: a relaxed Sc4InAg crystal at the PBE level of DFT.

SG	C2/m, No. 12
ΔE to the lowest computed polymorph	0	meV per atom
calculated formation energy	-0.220	eV per atom

abc: 6.660 6.660 6.606
angles: 104.30 104.30 28.64
Element x y z (fractional)
Sc 0.159 0.159 0.335
Sc 0.161 0.161 0.826
Sc 0.839 0.839 0.174
Sc 0.841 0.841 0.665
In 0.500 0.500 0.000
Ag 0.500 0.500 0.500

***

Computed, not measured: a relaxed VZn2Ir crystal at the PBE level of DFT.

SG	R-3m, No. 166
ΔE to the lowest computed polymorph	318	meV per atom
calculated formation energy	0.265	eV per atom

abc: 9.555 9.555 9.555
angles: 16.43 16.43 16.43
Element x y z (fractional)
V 0.000 0.000 0.000
Zn 0.091 0.091 0.091
Zn 0.909 0.909 0.909
Ir 0.500 0.500 0.500

***

Computed, not measured: a relaxed MgIn2Os crystal at the PBE level of DFT.

SG	I-42d, No. 122
calculated formation energy	0.539	eV per atom

abc: 6.566 6.566 6.566
angles: 99.91 99.91 130.97
Element x y z (fractional)
Mg 0.000 0.000 0.000
Mg 0.750 0.250 0.500
In 0.207 0.625 0.082
In 0.375 0.457 0.582
In 0.543 0.125 0.918
In 0.875 0.793 0.418
Os 0.250 0.750 0.500
Os 0.500 0.500 0.000

***

Computed, not measured: a relaxed Dy2Ga4NiPt3 crystal at the PBE level of DFT.

SG	P-4m2, No. 115
calculated formation energy	-0.865	eV per atom

abc: 4.016 4.016 11.270
angles: 90.00 90.00 90.00
Element x y z (fractional)
Dy 0.000 0.500 0.244
Dy 0.500 0.000 0.756
Ga 0.000 0.000 0.500
Ga 0.000 0.500 0.871
Ga 0.500 0.000 0.129
Ga 0.500 0.500 0.500
Ni 0.500 0.500 0.000
Pt 0.000 0.000 0.000
Pt 0.000 0.500 0.648
Pt 0.500 0.000 0.352

***

Computed, not measured: a relaxed Er4P3S crystal at the PBE level of DFT.

SG	Pm-3m, No. 221
energy relative to the elements, uncorrected	-1.7513	eV per atom
ΔE to the lowest computed polymorph	10	meV per atom

abc: 5.576 5.576 5.576
angles: 90.00 90.00 90.00
Element x y z (fractional)
Er 0.000 0.000 0.000
Er 0.000 0.500 0.500
Er 0.500 0.000 0.500
Er 0.500 0.500 0.000
P 0.000 0.000 0.500
P 0.000 0.500 0.000
P 0.500 0.000 0.000
S 0.500 0.500 0.500

***

Computed, not measured: a relaxed RbUCuTe4 crystal at the PBE level of DFT.

SG	P2_1/m, No. 11
energy relative to the elements, uncorrected	-0.5830	eV per atom

abc: 7.514 6.280 10.320
angles: 90.00 107.26 90.00
Element x y z (fractional)
Rb 0.230 0.250 0.051
Rb 0.770 0.750 0.949
U 0.272 0.250 0.556
U 0.728 0.750 0.444
Cu 0.275 0.750 0.338
Cu 0.725 0.250 0.662
Te 0.013 0.505 0.696
Te 0.013 0.995 0.696
Te 0.431 0.750 0.593
Te 0.460 0.750 0.168
Te 0.540 0.250 0.832
Te 0.569 0.250 0.407
Te 0.987 0.005 0.304
Te 0.987 0.495 0.304

***

Computed, not measured: a relaxed PrNd3Rh8 crystal at the PBE level of DFT.

SG	R3m, No. 160
calculated formation energy	-0.653	eV per atom

abc: 9.399 9.399 9.399
angles: 33.53 33.53 33.53
Element x y z (fractional)
Pr 0.000 0.000 0.000
Nd 0.125 0.125 0.125
Nd 0.500 0.500 0.500
Nd 0.625 0.625 0.625
Rh 0.062 0.062 0.562
Rh 0.062 0.562 0.062
Rh 0.063 0.563 0.563
Rh 0.312 0.312 0.312
Rh 0.562 0.062 0.062
Rh 0.563 0.063 0.563
Rh 0.563 0.563 0.063
Rh 0.813 0.813 0.813

***

Computed, not measured: a relaxed Y2TcIr crystal at the PBE level of DFT.

SG	Pmm2, No. 25
calculated formation energy	0.079	eV per atom

abc: 3.124 4.625 5.800
angles: 90.00 90.00 90.00
Element x y z (fractional)
Y 0.000 0.000 0.000
Y 0.500 0.500 0.357
Tc 0.500 0.500 0.834
Ir 0.000 0.000 0.518

***

DOS at the Fermi energy: 5.64 3.37 2.78 5.83 3.02 12.38 6.22 5.38 (states/eV/cell)
VASP energy: -5.37 -4.87 -4.04 -5.39 -6.58 -4.71 -7.14 -7.96 (eV per atom)